Entry 1:
# Mn2TlW

A geometry-optimized Mn2TlW structure (PBE-GGA, Alexandria via LeMat-Bulk).

POSCAR file:
```
Mn2TlW
1.0
1.710 -2.278 0.000
1.710 2.278 0.000
0.000 0.000 8.470
Mn Tl W
2 1 1
direct
0.000 0.000 0.225
0.000 0.000 0.775
0.500 0.500 0.500
0.500 0.500 0.000
```

Computed properties:
V = 16.50 Å³/atom
theoretical density = 12.532 Mg/m³
energy relative to the elements = 0.513 eV per atom
calculated total energy = -31.61 eV for the cell shown

Entry 2:
# RbTb2Cl8

A geometry-optimized RbTb2Cl8 structure (PBE-GGA, Alexandria via LeMat-Bulk).

POSCAR file:
```
RbTb2Cl8
1.0
5.622 -4.209 0.000
5.622 4.209 0.000
-1.783 0.000 8.157
Rb Tb Cl
1 2 8
direct
0.000 0.000 0.000
0.322 0.322 0.538
0.678 0.678 0.462
0.043 0.662 0.655
0.227 0.227 0.801
0.338 0.957 0.345
0.441 0.441 0.293
0.559 0.559 0.707
0.662 0.043 0.655
0.773 0.773 0.199
0.957 0.338 0.345
```

Computed properties:
V = 35.09 Å³/atom
energy relative to the elements, uncorrected = -1946 meV/atom
theoretical density = 2.955 Mg/m³
calculated total energy = -46.41 eV for the cell shown

We obtain distance to the lowest polymorph of the same formula values of 0.20 0.67 eV/f.u. for the records listed above, in that order.